# TlCrN2F GGA+U optimized geometry
data_TlCrN2F
_cell_length_a 4.3221
_cell_length_b 4.3221
_cell_length_c 4.4869
_cell_angle_alpha 90.00
_cell_angle_beta 90.00
_cell_angle_gamma 90.00
_symmetry_space_group_name_H-M 'P 4/m m m'
_symmetry_Int_Tables_number 123
_symmetry_space_group_name_Hall '-P 4 2'
loop_
_atom_site_label
_atom_site_type_symbol
_atom_site_fract_x
_atom_site_fract_y
_atom_site_fract_z
Tl1 Tl 0.0000 0.0000 0.0000
Cr1 Cr 0.5000 0.5000 0.5000
N1 N 0.0000 0.5000 0.0000
F1 F 0.0000 0.0000 0.5000
# DFT total energy = -4.6375 eV/atom
# E above lowest polymorph = 982 meV/atom